w.
TlSi2Se | GGA-PBEsol | relaxed

It has space group Pm (No. 6), with a = 3.365 Å, b = 5.120 Å, c = 5.431 Å, α = 90.00°, β = 107.65° and γ = 90.00°. The asymmetric unit holds Tl at (0.000, 0.000, 0.000), Si at (0.249, 0.500, 0.495), Si at (0.275, 0.000, 0.549) and Se at (0.589, 0.500, 0.167).

The density is 6.32 Mg/m³. The value obtained for the density of states at the Fermi level is 1.8 states/eV per cell.


x.
TlSi2Se | GGA-PBEsol | relaxed

It has space group R3m (No. 160, hexagonal axes), with a = 3.4120 Å, b = 3.4120 Å, c = 25.6991 Å, α = 90.00°, β = 90.00° and γ = 120.00°. The asymmetric unit holds Tl at (0.0000, 0.0000, 0.0000), Si at (0.0000, 0.0000, 0.4869), Si at (0.0000, 0.0000, 0.7588) and Se at (0.0000, 0.0000, 0.2111).

The density is 6.53 Mg/m³. The value obtained for the density of states at the Fermi level is 4.2 states/eV per cell.


The calculated energies rank the structures as follows, beginning with the most stable: x, w.


w.
SrCrIr2 | GGA-PBEsol | relaxed

It has space group Immm (No. 71), with a = 2.858 Å, b = 4.907 Å, c = 9.582 Å, α = 90.00°, β = 90.00° and γ = 90.00°. The asymmetric unit holds Sr at (0.000, 0.000, 0.000), Cr at (0.000, 0.000, 0.500) and Ir at (0.000, 0.500, 0.218).

The density is 12.95 Mg/m³. The value obtained for the density of states at the Fermi level is 10.1 states/eV per cell.


x.
SrCrIr2 | GGA-PBEsol | relaxed

It has space group Pmmm (No. 47), with a = 2.961 Å, b = 4.730 Å, c = 4.846 Å, α = 90.00°, β = 90.00° and γ = 90.00°. The asymmetric unit holds Sr at (0.000, 0.000, 0.000), Cr at (0.500, 0.000, 0.500), Ir at (0.000, 0.500, 0.500) and Ir at (0.500, 0.500, 0.000).

The density is 12.82 Mg/m³. The value obtained for the density of states at the Fermi level is 3.7 states/eV per cell.


The calculated energies rank the structures as follows, beginning with the most stable: w, x.


w.
ScTa2Co | GGA-PBEsol | relaxed

It has space group Imm2 (No. 44), with a = 3.067 Å, b = 4.744 Å, c = 8.961 Å, α = 90.00°, β = 90.00° and γ = 90.00°. The asymmetric unit holds Sc at (0.000, 0.000, 0.000), Ta at (0.000, 0.000, 0.546), Ta at (0.000, 0.500, 0.780) and Co at (0.000, 0.500, 0.263).

The density is 11.87 Mg/m³. The value obtained for the density of states at the Fermi level is 9.4 states/eV per cell.


x.
ScTa2Co | GGA-PBEsol | relaxed

It has space group I4/mmm (No. 139), with a = 3.795 Å, b = 3.795 Å, c = 9.151 Å, α = 90.00°, β = 90.00° and γ = 90.00°. The asymmetric unit holds Sc at (0.000, 0.000, 0.000), Ta at (0.000, 0.500, 0.250) and Co at (0.000, 0.000, 0.500).

The density is 11.74 Mg/m³. The value obtained for the density of states at the Fermi level is 10.4 states/eV per cell.


The calculated energies rank the structures as follows, beginning with the most stable: w, x.